VASP calculation (PBE-GGA) on crystalline TiWN at its relaxed geometry.

Unit cell a=8.8322 b=5.2425 c=4.7501 alpha=90.00 beta=90.00 gamma=90.00
With the nearest neighbours (Å) after each atom.
Fractional coordinates of all 18 atoms:
Ti 0.0000 0.0957 0.0000  3 N 2.08-2.12
Ti 0.1700 0.5927 0.9788  3 N 2.08-2.12
Ti 0.3300 0.4073 0.4788  3 N 2.08-2.12
Ti 0.5000 0.9043 0.5000  3 N 2.08-2.12
Ti 0.6700 0.4073 0.4788  3 N 2.08-2.12
Ti 0.8300 0.5927 0.9788  3 N 2.08-2.12
W 0.0000 0.4238 0.4833  3 N 2.09-2.11
W 0.1631 0.9193 0.4944  3 N 2.10-2.13
W 0.3369 0.0807 0.9944  3 N 2.10-2.13
W 0.5000 0.5762 0.9833  3 N 2.09-2.11
W 0.6631 0.0807 0.9944  3 N 2.10-2.13
W 0.8369 0.9193 0.4944  3 N 2.10-2.13
N 0.0000 0.7477 0.2278  3 Ti 2.08-2.12, 3 W 2.09-2.12
N 0.1661 0.2515 0.7406  3 Ti 2.08-2.12, 3 W 2.10-2.13
N 0.3339 0.7485 0.2406  3 Ti 2.08-2.12, 3 W 2.10-2.13
N 0.5000 0.2523 0.7278  3 Ti 2.08-2.12, 3 W 2.09-2.12
N 0.6661 0.7485 0.2406  3 Ti 2.08-2.12, 3 W 2.10-2.13
N 0.8339 0.2515 0.7406  3 Ti 2.08-2.12, 3 W 2.10-2.13

Properties
M_tot: 0.00 Bohr magnetons per cell
Energy above the lowest structure with this stoichiometry: 0 meV/atom